## NdPa2RhN4 (GGA-PBE)

Data for a geometry-optimized NdPa2RhN4 structure.

abc: 3.5499 11.5874 11.7379
angles: 90.00 90.00 90.00
Closest atoms and distances in Å follow each position.
Space group Cmcm (No. 63)
Asymmetric unit:
Nd: 0.0000 0.1062 0.2500 x4  2 N 2.44
Pa: 0.0000 0.3690 0.0624 x8  6 N 2.22-2.45
Rh: 0.0000 0.1568 0.7500 x4  4 N 2.20-2.24
N: 0.0000 0.0000 0.0000 x4  4 Pa 2.45
N: 0.0000 0.2697 0.5998 x8  1 Rh 2.20, 3 Pa 2.22-2.43
N: 0.0000 0.4616 0.2500 x4  2 Rh 2.24, 2 Nd 2.44, 2 Pa 2.45

Values from the calculation:
Total magnetic moment   0.00 μB/cell
Formation energy without anion corrections   -1.2811 eV per atom